Compound: Pr6Nd2ErTh
Source: the Alexandria database
Functional: PBE
Structure: relaxed

a b c (Å): 10.045 8.937 8.937
angles (deg): 116.78 95.04 95.04
Atoms (fractional coordinates):
Pr (0.056, 0.111, 0.748)
Pr (0.444, 0.252, 0.889)
Pr (0.944, 0.889, 0.252)
Pr (0.556, 0.748, 0.111)
Pr (0.310, 0.989, 0.422)
Pr (0.190, 0.578, 0.011)
Pr (0.690, 0.011, 0.578)
Pr (0.810, 0.422, 0.989)
Pr (0.119, 0.700, 0.494)
Pr (0.381, 0.506, 0.300)
Pr (0.881, 0.300, 0.506)
Pr (0.619, 0.494, 0.700)
Nd (0.453, 0.805, 0.715)
Nd (0.047, 0.285, 0.195)
Nd (0.547, 0.195, 0.285)
Nd (0.953, 0.715, 0.805)
Er (0.250, 0.407, 0.593)
Er (0.750, 0.593, 0.407)
Th (0.250, 0.981, 0.019)
Th (0.750, 0.019, 0.981)

Output
As for the symmetry: No. 15. The calculation puts the volume at 35.31 Å³/atom. For the formation energy, the calculation gives 0.1416 eV/atom.


Compound: PaNi6C
Source: the Alexandria database
Functional: PBE
Structure: relaxed

a b c (Å): 5.060 5.060 5.465
angles (deg): 62.42 62.42 60.00
Atoms (fractional coordinates):
Pa (0.500, 0.500, 0.500)
Ni (0.907, 0.907, 0.765)
Ni (0.422, 0.907, 0.765)
Ni (0.093, 0.578, 0.235)
Ni (0.578, 0.093, 0.235)
Ni (0.093, 0.093, 0.235)
Ni (0.907, 0.422, 0.765)
C (0.000, 0.000, 0.000)

Output
As for the symmetry: No. 166. The calculation puts the volume at 12.80 Å³/atom. For the formation energy, the calculation gives -0.1111 eV/atom.


Compound: CuNi3Ge
Source: the Alexandria database
Functional: PBE
Structure: relaxed

a b c (Å): 4.295 4.295 4.295
angles (deg): 90.00 90.00 90.00
Atoms (fractional coordinates):
Ni (0.000, 0.500, 0.000)
Ni (0.000, 0.000, 0.500)
Ni (0.500, 0.000, 0.000)
Ge (0.000, 0.000, 0.000)
Cu (0.500, 0.500, 0.500)

Output
As for the symmetry: No. 221. The calculation puts the volume at 15.85 Å³/atom. For the formation energy, the calculation gives 0.7069 eV/atom. The value obtained for the energy above the lowest structure with this stoichiometry is 4.35 eV per formula unit.


Compound: PmRe2N8
Source: the Alexandria database
Functional: PBE
Structure: relaxed

a b c (Å): 4.648 4.648 6.291
angles (deg): 90.00 90.00 90.00
Atoms (fractional coordinates):
Pm (0.500, 0.500, 0.500)
Re (0.500, 0.000, 0.000)
Re (0.000, 0.500, 0.000)
N (0.751, 0.751, 0.203)
N (0.751, 0.249, 0.797)
N (0.751, 0.751, 0.797)
N (0.751, 0.249, 0.203)
N (0.249, 0.751, 0.203)
N (0.249, 0.751, 0.797)
N (0.249, 0.249, 0.203)
N (0.249, 0.249, 0.797)

Output
As for the symmetry: No. 123. As for the formation energy without anion corrections: 107 kJ per mole of atoms. The calculation puts the volume at 12.35 Å³/atom.


Compound: TmThMg
Source: the Alexandria database
Functional: PBE
Structure: relaxed

a b c (Å): 3.538 3.538 13.733
angles (deg): 90.00 90.00 90.00
Atoms (fractional coordinates):
Tm (0.000, 0.500, 0.229)
Tm (0.500, 0.000, 0.771)
Th (0.000, 0.500, 0.591)
Th (0.500, 0.000, 0.409)
Mg (0.500, 0.000, 0.067)
Mg (0.000, 0.500, 0.933)

Output
As for the symmetry: No. 129. The calculation puts the volume at 28.65 Å³/atom. For the formation energy, the calculation gives -0.0193 eV/atom. The value obtained for the energy above the lowest structure with this stoichiometry is 0.00 eV per formula unit.


Calculated total energy, record by record: -4.88; -6.79; -4.50; -7.64; -4.51 eV per atom